[1]
VASP calculation (GGA-PBEsol) on a geometry-optimized Na2MnTcW structure.

Computed properties:
Calculated volume   112.6 Å³/cell
Crystal system   tetragonal

Cell: 4.2170 5.1678 5.1678 Å, 90.00 90.00 90.00°
Last column: nearest neighbours and their distance in Å.
Sites, in units of the cell vectors:
Tc (0.0000, 0.0000, 0.0000)  2 Mn 2.11
W (0.5000, 0.5000, 0.5000)  8 Na 3.33, 4 Mn 3.65
Na (0.0000, 0.0000, 0.5000)  2 Tc 2.58
Na (0.0000, 0.5000, 0.0000)  2 Tc 2.58
Mn (0.5000, 0.0000, 0.0000)  2 Tc 2.11

[2]
VASP calculation (GGA-PBEsol) on a geometry-optimized Na3MnTl structure.

Computed properties:
Calculated volume   176.1 Å³/cell
Crystal system   cubic

Cell: 5.6056 5.6056 5.6056 Å, 90.00 90.00 90.00°
Last column: nearest neighbours and their distance in Å.
Sites, in units of the cell vectors:
Na (0.0000, 0.5000, 0.0000)  2 Mn 2.80
Na (0.0000, 0.0000, 0.5000)  2 Mn 2.80
Na (0.5000, 0.0000, 0.0000)  2 Mn 2.80
Tl (0.5000, 0.5000, 0.5000)  12 Na 3.96
Mn (0.0000, 0.0000, 0.0000)  6 Na 2.80

[3]
VASP calculation (GGA-PBEsol) on a geometry-optimized NaMnTl3 structure.

Computed properties:
Calculated volume   152.9 Å³/cell
Crystal system   cubic

Cell: 5.3475 5.3475 5.3475 Å, 90.00 90.00 90.00°
Last column: nearest neighbours and their distance in Å.
Sites, in units of the cell vectors:
Tl (0.5000, 0.0000, 0.0000)  2 Na 2.67
Tl (0.0000, 0.0000, 0.5000)  2 Na 2.67
Tl (0.0000, 0.5000, 0.0000)  2 Na 2.67
Na (0.0000, 0.0000, 0.0000)  6 Tl 2.67
Mn (0.5000, 0.5000, 0.5000)  12 Tl 3.78

[4]
VASP calculation (GGA-PBEsol) on a geometry-optimized NaY3Mn structure.

Computed properties:
Calculated volume   145.4 Å³/cell
Crystal system   cubic

Cell: 5.2583 5.2583 5.2583 Å, 90.00 90.00 90.00°
Last column: nearest neighbours and their distance in Å.
Sites, in units of the cell vectors:
Y (0.5000, 0.0000, 0.0000)  2 Mn 2.63
Y (0.0000, 0.5000, 0.0000)  2 Mn 2.63
Y (0.0000, 0.0000, 0.5000)  2 Mn 2.63
Mn (0.0000, 0.0000, 0.0000)  6 Y 2.63
Na (0.5000, 0.5000, 0.5000)  12 Y 3.72

[5]
VASP calculation (GGA-PBEsol) on a geometry-optimized NaYMn3 structure.

Computed properties:
Calculated volume   131.1 Å³/cell
Crystal system   cubic

Cell: 5.0805 5.0805 5.0805 Å, 90.00 90.00 90.00°
Last column: nearest neighbours and their distance in Å.
Sites, in units of the cell vectors:
Na (0.5000, 0.5000, 0.5000)  12 Mn 3.59
Mn (0.0000, 0.5000, 0.0000)  2 Y 2.54
Mn (0.0000, 0.0000, 0.5000)  2 Y 2.54
Mn (0.5000, 0.0000, 0.0000)  2 Y 2.54
Y (0.0000, 0.0000, 0.0000)  6 Mn 2.54

[6]
VASP calculation (GGA-PBEsol) on a geometry-optimized NaZr2Mn structure.

Computed properties:
Calculated volume   71.0 Å³/cell
Crystal system   cubic

Cell: 4.6489 4.6489 4.6489 Å, 60.00 60.00 60.00°
Last column: nearest neighbours and their distance in Å.
Sites, in units of the cell vectors:
Zr (0.2500, 0.2500, 0.2500)  4 Mn 2.85, 4 Na 2.85
Zr (0.7500, 0.7500, 0.7500)  4 Mn 2.85, 4 Na 2.85
Na (0.0000, 0.0000, 0.0000)  8 Zr 2.85
Mn (0.5000, 0.5000, 0.5000)  8 Zr 2.85

no.,energy of formation from the pure elements (meV/atom),energy (eV for the cell shown),density of states at the Fermi level (states/eV per cell)
1,2457,-25.35,7.6
2,809,-12.55,5.1
3,931,-14.40,3.6
4,303,-30.11,5.4
5,1630,-29.35,5.7
6,519,-27.27,4.1